Y2CoOs | the Alexandria database | PBEsol | optimized geometry; space-group type = Amm2 (38); E_form = -0.162 eV/atom; magnetization = 0.64 μB/f.u.; D(E_F) = 3.68 states/eV/cell; electronic total energy = -8.561 eV/atom
1.0
-2.874 2.766 0.308
-0.189 -0.657 4.139
3.554 3.843 -1.353
Os Co Y
1 1 2
Direct
0.500 0.697 0.393 Os
0.000 0.806 0.613 Co
0.500 0.396 0.793 Y
0.000 0.103 0.207 Y

---

TaAgRu2 | the Alexandria database | PBEsol | optimized geometry; space-group type = F-43m (216); E_form = 0.448 eV/atom; magnetization = 0.00 μB/f.u.; D(E_F) = 5.91 states/eV/cell; electronic total energy = -8.603 eV/atom
1.0
-2.326 -0.786 3.668
2.081 -0.606 3.846
-0.252 3.077 3.155
Ag Ru Ta
1 2 1
Direct
0.500 0.500 0.500 Ag
0.000 0.000 0.000 Ru
0.750 0.750 0.750 Ru
0.250 0.250 0.250 Ta

---

TaTl2Cr | the Alexandria database | PBEsol | optimized geometry; space-group type = Cmmm (65); E_form = 0.710 eV/atom; magnetization = 3.48 μB/f.u.; D(E_F) = 3.65 states/eV/cell; electronic total energy = -6.303 eV/atom
1.0
3.026 0.000 0.000
0.000 5.206 -0.036
0.000 -1.762 4.899
Cr Ta Tl
1 1 2
Direct
0.500 0.000 0.000 Cr
0.500 0.500 0.500 Ta
0.000 0.000 0.500 Tl
0.000 0.500 0.000 Tl

---

ZnNi6Mo | the Alexandria database | PBEsol | optimized geometry; space-group type = Cmmm (65); E_form = -0.146 eV/atom; magnetization = 0.00 μB/f.u.; D(E_F) = 6.93 states/eV/cell; electronic total energy = -6.433 eV/atom
1.0
6.140 -0.003 0.000
-2.050 5.788 0.000
0.000 0.000 10.040
Ni Mo Zn
24 4 4
Direct
0.749 0.251 0.248 Ni
0.874 0.624 0.876 Ni
0.126 0.376 0.876 Ni
0.126 0.376 0.124 Ni
0.624 0.872 0.374 Ni
0.251 0.749 0.752 Ni
0.500 0.500 0.000 Ni
0.872 0.624 0.626 Ni
0.376 0.128 0.374 Ni
0.872 0.624 0.374 Ni
0.624 0.874 0.876 Ni
0.624 0.872 0.626 Ni
0.000 0.000 0.500 Ni
0.251 0.749 0.248 Ni
0.128 0.376 0.626 Ni
0.874 0.624 0.124 Ni
0.376 0.126 0.876 Ni
0.376 0.128 0.626 Ni
0.624 0.874 0.124 Ni
0.500 0.500 0.500 Ni
0.128 0.376 0.374 Ni
0.000 0.000 0.000 Ni
0.749 0.251 0.752 Ni
0.376 0.126 0.124 Ni
0.254 0.746 0.000 Mo
0.746 0.254 0.000 Mo
0.500 0.500 0.741 Mo
0.500 0.500 0.259 Mo
0.251 0.749 0.500 Zn
0.749 0.251 0.500 Zn
0.000 0.000 0.253 Zn
0.000 0.000 0.747 Zn

---

Zr2Bi2W | the Alexandria database | PBEsol | optimized geometry; space-group type = I4/mmm (139); E_form = 0.813 eV/atom; magnetization = 0.00 μB/f.u.; D(E_F) = 2.81 states/eV/cell; electronic total energy = -7.298 eV/atom
1.0
4.004 0.000 0.000
0.000 4.004 0.000
-2.002 -2.002 7.766
Bi Zr W
2 2 1
Direct
0.750 0.250 0.500 Bi
0.250 0.750 0.500 Bi
0.592 0.592 0.184 Zr
0.408 0.408 0.816 Zr
0.000 0.000 0.000 W

---

NbAsP2 | the Alexandria database | PBEsol | optimized geometry; space-group type = I-42d (122); E_form = 0.199 eV/atom; magnetization = 0.00 μB/f.u.; D(E_F) = 7.55 states/eV/cell; electronic total energy = -6.679 eV/atom
1.0
-0.548 5.532 -1.448
-5.500 -0.907 -1.386
1.618 -1.184 6.259
As P Nb
2 4 2
Direct
0.500 0.500 0.000 As
0.750 0.250 0.500 As
0.625 0.624 0.750 P
0.874 0.375 0.250 P
0.376 0.875 0.250 P
0.125 0.126 0.750 P
0.250 0.750 0.500 Nb
0.000 0.000 0.000 Nb

---

ZrBe2Cl | the Alexandria database | PBEsol | optimized geometry; space-group type = Pm (6); uncorrected formation energy = 0.0261 eV/atom; magnetization = 0.00 μB/f.u.; D(E_F) = 1.74 states/eV/cell; electronic total energy = -4.748 eV/atom
1.0
-1.425 1.222 2.273
-0.840 -3.546 1.381
4.270 0.021 2.652
Cl Be Zr
1 2 1
Direct
0.750 0.000 0.492 Cl
0.754 0.500 0.196 Be
0.747 0.000 0.032 Be
0.249 0.500 0.780 Zr

---

LaYBe | the Alexandria database | PBEsol | optimized geometry; space-group type = F-43m (216); E_form = 0.774 eV/atom; magnetization = 0.00 μB/f.u.; D(E_F) = 0.86 states/eV/cell; electronic total energy = -4.615 eV/atom
1.0
-2.933 3.533 1.382
-3.951 -1.012 2.522
-0.268 1.221 4.630
Y La Be
1 1 1
Direct
0.250 0.250 0.250 Y
0.500 0.500 0.500 La
0.000 0.000 0.000 Be

---

Re2SiP | the Alexandria database | PBEsol | optimized geometry; space-group type = C2/m (12); uncorrected formation energy = -0.0405 eV/atom; magnetization = 0.00 μB/f.u.; D(E_F) = 2.39 states/eV/cell; electronic total energy = -9.591 eV/atom
1.0
2.835 0.000 0.000
-1.417 3.934 0.001
0.000 -1.002 4.816
Re Si P
2 1 1
Direct
0.747 0.494 0.759 Re
0.253 0.506 0.241 Re
0.000 0.000 0.500 Si
0.500 0.000 0.000 P

---

HfAl2BiRu | the Alexandria database | PBEsol | optimized geometry; space-group type = P4/mmm (123); E_form = 1.598 eV/atom; magnetization = 2.08 μB/f.u.; D(E_F) = 6.96 states/eV/cell; electronic total energy = -5.031 eV/atom
1.0
5.049 0.000 0.000
0.000 5.049 0.000
0.000 0.000 5.361
Al Bi Hf Ru
2 1 1 1
Direct
0.500 0.000 0.000 Al
0.000 0.500 0.000 Al
0.000 0.000 0.500 Bi
0.000 0.000 0.000 Hf
0.500 0.500 0.500 Ru

---

AlCdCl3 | the Alexandria database | PBEsol | optimized geometry; space-group type = Pm-3m (221); uncorrected formation energy = -0.7658 eV/atom; magnetization = 0.00 μB/f.u.; D(E_F) = 2.47 states/eV/cell; electronic total energy = -3.028 eV/atom
1.0
-4.337 -1.956 0.263
1.103 -1.877 4.238
-1.636 3.919 2.161
Cl Al Cd
3 1 1
Direct
0.000 0.000 0.500 Cl
0.500 0.000 0.000 Cl
0.000 0.500 0.000 Cl
0.000 0.000 0.000 Al
0.500 0.500 0.500 Cd

---

Be3GaAu | the Alexandria database | PBEsol | optimized geometry; space-group type = Pm-3m (221); E_form = 0.758 eV/atom; magnetization = 0.00 μB/f.u.; D(E_F) = 1.08 states/eV/cell; electronic total energy = -3.095 eV/atom
1.0
4.159 0.000 0.000
0.000 4.159 0.000
0.000 0.000 4.159
Ga Be Au
1 3 1
Direct
0.000 0.000 0.000 Ga
0.000 0.000 0.500 Be
0.000 0.500 0.000 Be
0.500 0.000 0.000 Be
0.500 0.500 0.500 Au

---

KScPd2 | the Alexandria database | PBEsol | optimized geometry; space-group type = Fm-3m (225); E_form = -0.039 eV/atom; magnetization = 0.00 μB/f.u.; D(E_F) = 1.88 states/eV/cell; electronic total energy = -4.953 eV/atom
1.0
4.800 0.000 0.000
2.400 4.157 0.000
2.400 1.386 3.919
Pd Sc K
2 1 1
Direct
0.750 0.750 0.750 Pd
0.250 0.250 0.250 Pd
0.500 0.500 0.500 Sc
0.000 0.000 0.000 K

---

Sc2Sb2H | the Alexandria database | PBEsol | optimized geometry; space-group type = P4/mbm (127); magnetization = 0.00 μB/f.u.; D(E_F) = 4.05 states/eV/cell; electronic total energy = -5.653 eV/atom
1.0
-0.663 -4.285 -0.899
5.939 -0.285 -3.018
2.863 -1.657 5.789
H Sb Sc
2 4 4
Direct
0.000 0.500 0.500 H
0.000 0.000 0.000 H
0.500 0.150 0.650 Sb
0.500 0.850 0.350 Sb
0.500 0.350 0.150 Sb
0.500 0.650 0.850 Sb
0.000 0.830 0.670 Sc
0.000 0.330 0.830 Sc
0.000 0.170 0.330 Sc
0.000 0.670 0.170 Sc

---

Y2Ni2Hg | the Alexandria database | PBEsol | optimized geometry; space-group type = I4/mmm (139); E_form = -0.274 eV/atom; magnetization = 0.00 μB/f.u.; D(E_F) = 5.02 states/eV/cell; electronic total energy = -5.579 eV/atom
1.0
-1.006 -0.518 -3.238
0.637 -3.354 0.338
-7.765 0.694 4.117
Hg Ni Y
1 2 2
Direct
0.000 0.000 0.000 Hg
0.250 0.750 0.500 Ni
0.750 0.250 0.500 Ni
0.624 0.624 0.247 Y
0.376 0.376 0.753 Y

---

Li3SeF | the Alexandria database | PBEsol | optimized geometry; space-group type = Pm-3m (221); uncorrected formation energy = -1.9079 eV/atom; magnetization = 0.00 μB/f.u.; D(E_F) = 0.00 states/eV/cell; electronic total energy = -4.243 eV/atom
1.0
-3.763 0.034 -1.174
1.171 -0.187 -3.759
-0.088 -3.937 0.168
Li Se F
3 1 1
Direct
0.000 0.000 0.500 Li
0.500 0.000 0.000 Li
0.000 0.500 0.000 Li
0.500 0.500 0.500 Se
0.000 0.000 0.000 F

---

GeIrPtN2 | the Alexandria database | PBEsol | optimized geometry; space-group type = P4/mmm (123); uncorrected formation energy = 0.8212 eV/atom; magnetization = 0.00 μB/f.u.; D(E_F) = 2.74 states/eV/cell; electronic total energy = -6.935 eV/atom
1.0
3.656 0.000 0.000
0.000 3.656 0.000
0.000 0.000 5.988
N Ge Pt Ir
2 1 1 1
Direct
0.000 0.500 0.000 N
0.500 0.000 0.000 N
0.000 0.000 0.500 Ge
0.500 0.500 0.500 Pt
0.000 0.000 0.000 Ir

---

SrHf3Tl | the Alexandria database | PBEsol | optimized geometry; space-group type = Pm-3m (221); E_form = 1.179 eV/atom; magnetization = 1.39 μB/f.u.; D(E_F) = 9.64 states/eV/cell; electronic total energy = -6.017 eV/atom
1.0
-1.452 3.607 -3.712
-5.175 -0.936 1.115
0.102 3.875 3.725
Hf Tl Sr
3 1 1
Direct
0.000 0.000 0.500 Hf
0.000 0.500 0.000 Hf
0.500 0.000 0.000 Hf
0.000 0.000 0.000 Tl
0.500 0.500 0.500 Sr

---

YScMn3 | the Alexandria database | PBEsol | optimized geometry; space-group type = Pm-3m (221); E_form = 0.996 eV/atom; magnetization = 8.78 μB/f.u.; D(E_F) = 5.61 states/eV/cell; electronic total energy = -7.546 eV/atom
1.0
4.616 0.000 0.000
0.000 4.616 0.000
0.000 0.000 4.616
Mn Y Sc
3 1 1
Direct
0.000 0.000 0.500 Mn
0.500 0.000 0.000 Mn
0.000 0.500 0.000 Mn
0.500 0.500 0.500 Y
0.000 0.000 0.000 Sc

---

La2FeTePb | the Alexandria database | PBEsol | optimized geometry; space-group type = P4/mmm (123); uncorrected formation energy = -0.4412 eV/atom; magnetization = 0.00 μB/f.u.; D(E_F) = 3.62 states/eV/cell; electronic total energy = -5.877 eV/atom
1.0
4.798 0.000 0.000
0.000 5.234 0.000
0.000 0.000 5.234
Pb La Fe Te
1 2 1 1
Direct
0.500 0.500 0.500 Pb
0.000 0.500 0.000 La
0.000 0.000 0.500 La
0.000 0.000 0.000 Fe
0.500 0.000 0.000 Te